The following is a DFT calculation (SCAN) of Cs2FeNiC6N6 at its PBEsol-relaxed geometry.

extended XYZ file:
```
16
Lattice="-1.5050 -4.2911 5.5026 -3.7209 -5.9982 -1.0649 3.2209 -6.3456 0.5627" Properties=species:S:1:pos:R:3 pbc="T T T"
Fe 0.0000 0.0000 0.0000
N 0.0814 -9.2421 3.9217
N -2.6864 -9.1036 3.2727
N 0.6814 -7.5312 1.7277
N -2.0863 -7.3927 1.0788
N -0.8021 -9.9228 1.3031
N -1.2028 -6.7121 3.6973
C -0.6847 -10.8636 0.6016
C -1.3203 -5.7712 4.3989
C 0.7166 -9.7841 4.7548
C -3.6732 -9.5644 3.7255
C 1.6683 -7.0705 1.2750
C -2.7215 -6.8508 0.2457
Cs -0.5012 -4.1587 1.2501
Cs -1.5037 -12.4762 3.7503
Ni -1.0025 -8.3174 2.5002
```

Calculated values
**DFT total energy**: -14.374 eV per atom
**Mass density**: 3.46 Mg/m³
**Formation energy from raw total energies**: -358 kJ/mol of formula units